# LiTa2W PBE relaxed
# E_tot = -9.40 eV/atom
# D(E_F) = 0.999 states/eV/atom
# DFT formation energy = 246 meV per atom
# Total moment = 0.000 μB/atom
data_LiTa2W
_cell_length_a 3.174
_cell_length_b 4.542
_cell_length_c 9.688
_cell_angle_alpha 90.00
_cell_angle_beta 90.00
_cell_angle_gamma 90.00
_space_group_name_H-M_alt 'C m m 2'
_space_group_IT_number 35
loop_
_space_group_symop_operation_xyz
'x,y,z'
'-x,-y,z'
'-x,y,z'
'x,-y,z'
'x+1/2,y+1/2,z'
'-x+1/2,-y+1/2,z'
'-x+1/2,y+1/2,z'
'x+1/2,-y+1/2,z'
loop_
_atom_site_label
_atom_site_type_symbol
_atom_site_fract_x
_atom_site_fract_y
_atom_site_fract_z
Li1 Li 0.000 0.000 0.000
Ta1 Ta 0.000 0.000 0.482
Ta2 Ta 0.000 0.500 0.733
W1 W 0.000 0.500 0.247

---

# NaCd2In2Hg2 PBE relaxed
# E_tot = -1.39 eV/atom
# D(E_F) = 0.448 states/eV/atom
# DFT formation energy = -69 meV per atom
# Total moment = 0.000 μB/atom
data_NaCd2In2Hg2
_cell_length_a 5.0314
_cell_length_b 5.0314
_cell_length_c 24.7603
_cell_angle_alpha 90.00
_cell_angle_beta 90.00
_cell_angle_gamma 120.00
_space_group_name_H-M_alt 'R -3 m'
_space_group_IT_number 166
_space_group_name_Hall '-R 3 2"'
loop_
_atom_site_label
_atom_site_type_symbol
_atom_site_fract_x
_atom_site_fract_y
_atom_site_fract_z
Na1 Na 0.0000 0.0000 0.0000
Cd1 Cd 0.0000 0.0000 0.2574
In1 In 0.0000 0.0000 0.1333
Hg1 Hg 0.0000 0.0000 0.3905